First-principles (PBE+U) data for a relaxed Mn3Cu5F12 crystal, as listed in Alexandria via LeMat-Bulk.

Properties
Theoretical density: 4.7 g/cm3
Calculated total energy: -4.959 eV per atom

a b c (Å): 12.6564 12.6564 12.6564
angles (deg): 90.00 90.00 90.00
Space group Ia-3d (No. 230)
Asymmetric unit:
Mn 0.0000 0.2500 0.1250 x24
Cu 0.0000 0.0000 0.0000 x16
Cu 0.0000 0.2500 0.3750 x24
F 0.0195 0.0720 0.6526 x96